No. 1
{"formula": "Ni2H3Rh", "functional": "PBE", "state": "optimized geometry", "lattice": [[-0.628, 2.301, 2.913], [-3.854, -3.472, 1.912], [4.160, -2.268, 0.257]], "species": ["Ni", "Ni", "Ni", "Ni", "H", "H", "H", "H", "H", "H", "Rh", "Rh"], "fractional_positions": [[0.672, 0.586, 0.343], [0.672, 0.086, 0.343], [0.328, 0.914, 0.657], [0.328, 0.414, 0.657], [0.500, 0.250, 0.000], [0.500, 0.750, 0.000], [0.171, 0.085, 0.341], [0.830, 0.415, 0.659], [0.170, 0.585, 0.341], [0.829, 0.915, 0.659], [0.000, 0.750, 0.000], [0.000, 0.250, 0.000]], "final_energy_ev_per_atom": -4.84, "e_above_lowest_polymorph_mev_per_atom": 7, "m_tot_mub_per_cell": 0.0}

---

No. 2
{"formula": "Tc2PbO7", "functional": "PBE", "state": "optimized geometry", "lattice": [[3.794, 0.000, 0.000], [0.000, 5.950, -0.010], [0.000, -2.634, 5.335]], "species": ["Tc", "Tc", "Pb", "O", "O", "O", "O", "O", "O", "O"], "fractional_positions": [[0.500, 0.690, 0.310], [0.500, 0.310, 0.690], [0.000, 0.000, 0.000], [0.000, 0.694, 0.306], [0.000, 0.306, 0.694], [0.500, 0.039, 0.329], [0.500, 0.961, 0.671], [0.500, 0.329, 0.039], [0.500, 0.671, 0.961], [0.500, 0.500, 0.500]], "final_energy_ev_per_atom": -7.16, "e_above_lowest_polymorph_mev_per_atom": 0, "m_tot_mub_per_cell": 0.0, "e_form_raw_ev_per_atom": -1.244}